## MnCo2 (GGA-PBE)

Data for a geometry-optimized MnCo2 structure.

Results
D(E_F) in states/eV per atom: 1.4428
Formation energy in eV per atom: 0.0830

Cell lengths 3.487, 10.489, 3.477 Å; angles 90.00, 90.00, 90.00 degrees
Space group Cmcm (No. 63)
One atom of each set of equivalent atoms:
1 Mn 0.000 0.086 0.250 [4 per cell]
2 Co 0.000 0.251 0.750 [4 per cell]
3 Co 0.000 0.419 0.250 [4 per cell]